(1)
## HfCd2Au2 (PBE)

Data for HfCd2Au2 after structural relaxation.

The value obtained for the formation energy is 186 meV per atom. The energy relative to the lowest polymorph listed for this composition is 251.7 meV per atom.

Geometry as CIF:
```
data_HfCd2Au2
_chemical_formula_sum 'Hf2 Cd4 Au4'
_cell_length_a 4.0475
_cell_length_b 4.0475
_cell_length_c 12.7894
_cell_angle_alpha 90.00
_cell_angle_beta 90.00
_cell_angle_gamma 90.00
_symmetry_space_group_name_H-M 'I 4/m m m'
_symmetry_Int_Tables_number 139
_symmetry_space_group_name_Hall '-I 4 2'
loop_
_atom_site_label
_atom_site_type_symbol
_atom_site_fract_x
_atom_site_fract_y
_atom_site_fract_z
Hf1 Hf 0.0000 0.0000 0.0000
Cd1 Cd 0.0000 0.0000 0.3974
Au1 Au 0.0000 0.5000 0.2500
```

(2)
## Hf2CdAu2 (PBE)

Data for Hf2CdAu2 after structural relaxation.

The value obtained for the formation energy is 119 meV per atom.

Geometry as CIF:
```
data_Hf2CdAu2
_chemical_formula_sum 'Hf4 Cd2 Au4'
_cell_length_a 4.1302
_cell_length_b 4.1302
_cell_length_c 13.2845
_cell_angle_alpha 90.00
_cell_angle_beta 90.00
_cell_angle_gamma 90.00
_symmetry_space_group_name_H-M 'I 4/m m m'
_symmetry_Int_Tables_number 139
_symmetry_space_group_name_Hall '-I 4 2'
loop_
_atom_site_label
_atom_site_type_symbol
_atom_site_fract_x
_atom_site_fract_y
_atom_site_fract_z
Hf1 Hf 0.0000 0.0000 0.1100
Cd1 Cd 0.0000 0.0000 0.5000
Au1 Au 0.0000 0.5000 0.2500
```

(3)
## Hf2CdAu3 (PBE)

Data for Hf2CdAu3 after structural relaxation.

The value obtained for the formation energy is -349 meV per atom.

Geometry as CIF:
```
data_Hf2CdAu3
_chemical_formula_sum 'Hf2 Cd1 Au3'
_cell_length_a 3.4935
_cell_length_b 3.4935
_cell_length_c 9.5715
_cell_angle_alpha 90.00
_cell_angle_beta 90.00
_cell_angle_gamma 90.00
_symmetry_space_group_name_H-M 'P 4 m m'
_symmetry_Int_Tables_number 99
_symmetry_space_group_name_Hall 'P 4 -2'
loop_
_atom_site_label
_atom_site_type_symbol
_atom_site_fract_x
_atom_site_fract_y
_atom_site_fract_z
Hf1 Hf 0.0000 0.0000 0.0000
Hf2 Hf 0.5000 0.5000 0.4697
Cd1 Cd 0.5000 0.5000 0.8059
Au1 Au 0.0000 0.0000 0.3160
Au2 Au 0.0000 0.0000 0.6403
Au3 Au 0.5000 0.5000 0.1537
```

(4)
## HfCdAu2 (PBE)

Data for HfCdAu2 after structural relaxation.

The value obtained for the formation energy is -227 meV per atom.

Geometry as CIF:
```
data_HfCdAu2
_chemical_formula_sum 'Hf4 Cd4 Au8'
_cell_length_a 6.7104
_cell_length_b 6.7104
_cell_length_c 6.7104
_cell_angle_alpha 90.00
_cell_angle_beta 90.00
_cell_angle_gamma 90.00
_symmetry_space_group_name_H-M 'F -4 3 m'
_symmetry_Int_Tables_number 216
_symmetry_space_group_name_Hall 'F -4 2 3'
loop_
_atom_site_label
_atom_site_type_symbol
_atom_site_fract_x
_atom_site_fract_y
_atom_site_fract_z
Hf1 Hf 0.0000 0.0000 0.0000
Cd1 Cd 0.2500 0.2500 0.7500
Au1 Au 0.0000 0.0000 0.5000
Au2 Au 0.2500 0.2500 0.2500
```

(5)
## Hf2CdAu (PBE)

Data for Hf2CdAu after structural relaxation.

The value obtained for the formation energy is 107 meV per atom.

Geometry as CIF:
```
data_Hf2CdAu
_chemical_formula_sum 'Hf8 Cd4 Au4'
_cell_length_a 6.9052
_cell_length_b 6.9052
_cell_length_c 6.9052
_cell_angle_alpha 90.00
_cell_angle_beta 90.00
_cell_angle_gamma 90.00
_symmetry_space_group_name_H-M 'F -4 3 m'
_symmetry_Int_Tables_number 216
_symmetry_space_group_name_Hall 'F -4 2 3'
loop_
_atom_site_label
_atom_site_type_symbol
_atom_site_fract_x
_atom_site_fract_y
_atom_site_fract_z
Hf1 Hf 0.0000 0.0000 0.0000
Hf2 Hf 0.2500 0.2500 0.2500
Cd1 Cd 0.2500 0.2500 0.7500
Au1 Au 0.0000 0.0000 0.5000
```

(6)
## HfCd2Au2 (PBE)

Data for HfCd2Au2 after structural relaxation.

The value obtained for the formation energy is -65 meV per atom. The energy relative to the lowest polymorph listed for this composition is 0.0 meV per atom.

Geometry as CIF:
```
data_HfCd2Au2
_chemical_formula_sum 'Hf2 Cd4 Au4'
_cell_length_a 3.9380
_cell_length_b 3.9380
_cell_length_c 13.2928
_cell_angle_alpha 90.00
_cell_angle_beta 90.00
_cell_angle_gamma 90.00
_symmetry_space_group_name_H-M 'I 4/m m m'
_symmetry_Int_Tables_number 139
_symmetry_space_group_name_Hall '-I 4 2'
loop_
_atom_site_label
_atom_site_type_symbol
_atom_site_fract_x
_atom_site_fract_y
_atom_site_fract_z
Hf1 Hf 0.0000 0.0000 0.0000
Cd1 Cd 0.0000 0.5000 0.2500
Au1 Au 0.0000 0.0000 0.4019
```

(7)
## HfCdAu2 (PBE)

Data for HfCdAu2 after structural relaxation.

The value obtained for the formation energy is -227 meV per atom.

Geometry as CIF:
```
data_HfCdAu2
_chemical_formula_sum 'Hf4 Cd4 Au8'
_cell_length_a 6.7105
_cell_length_b 6.7105
_cell_length_c 6.7105
_cell_angle_alpha 90.00
_cell_angle_beta 90.00
_cell_angle_gamma 90.00
_symmetry_space_group_name_H-M 'F -4 3 m'
_symmetry_Int_Tables_number 216
_symmetry_space_group_name_Hall 'F -4 2 3'
loop_
_atom_site_label
_atom_site_type_symbol
_atom_site_fract_x
_atom_site_fract_y
_atom_site_fract_z
Hf1 Hf 0.0000 0.0000 0.0000
Cd1 Cd 0.2500 0.2500 0.2500
Au1 Au 0.0000 0.0000 0.5000
Au2 Au 0.2500 0.2500 0.7500
```

(8)
## Hf2Cd3Au (PBE)

Data for Hf2Cd3Au after structural relaxation.

The value obtained for the formation energy is -72 meV per atom.

Geometry as CIF:
```
data_Hf2Cd3Au
_chemical_formula_sum 'Hf2 Cd3 Au1'
_cell_length_a 3.3690
_cell_length_b 3.3690
_cell_length_c 10.6528
_cell_angle_alpha 90.00
_cell_angle_beta 90.00
_cell_angle_gamma 90.00
_symmetry_space_group_name_H-M 'P 4 m m'
_symmetry_Int_Tables_number 99
_symmetry_space_group_name_Hall 'P 4 -2'
loop_
_atom_site_label
_atom_site_type_symbol
_atom_site_fract_x
_atom_site_fract_y
_atom_site_fract_z
Hf1 Hf 0.0000 0.0000 0.0000
Hf2 Hf 0.5000 0.5000 0.4738
Cd1 Cd 0.0000 0.0000 0.3042
Cd2 Cd 0.0000 0.0000 0.6526
Cd3 Cd 0.5000 0.5000 0.8191
Au1 Au 0.5000 0.5000 0.1487
```

(9)
## Hf2CdAu (PBE)

Data for Hf2CdAu after structural relaxation.

The value obtained for the formation energy is -280 meV per atom.

Geometry as CIF:
```
data_Hf2CdAu
_chemical_formula_sum 'Hf2 Cd1 Au1'
_cell_length_a 3.4768
_cell_length_b 3.4768
_cell_length_c 6.6911
_cell_angle_alpha 90.00
_cell_angle_beta 90.00
_cell_angle_gamma 90.00
_symmetry_space_group_name_H-M 'P 4 m m'
_symmetry_Int_Tables_number 99
_symmetry_space_group_name_Hall 'P 4 -2'
loop_
_atom_site_label
_atom_site_type_symbol
_atom_site_fract_x
_atom_site_fract_y
_atom_site_fract_z
Hf1 Hf 0.0000 0.0000 0.0000
Hf2 Hf 0.5000 0.5000 0.2720
Cd1 Cd 0.5000 0.5000 0.7413
Au1 Au 0.0000 0.0000 0.5032
```

(10)
## HfCd2Au (PBE)

Data for HfCd2Au after structural relaxation.

The value obtained for the formation energy is -159 meV per atom.

Geometry as CIF:
```
data_HfCd2Au
_chemical_formula_sum 'Hf4 Cd8 Au4'
_cell_length_a 6.8116
_cell_length_b 6.8116
_cell_length_c 6.8116
_cell_angle_alpha 90.00
_cell_angle_beta 90.00
_cell_angle_gamma 90.00
_symmetry_space_group_name_H-M 'F -4 3 m'
_symmetry_Int_Tables_number 216
_symmetry_space_group_name_Hall 'F -4 2 3'
loop_
_atom_site_label
_atom_site_type_symbol
_atom_site_fract_x
_atom_site_fract_y
_atom_site_fract_z
Hf1 Hf 0.0000 0.0000 0.0000
Cd1 Cd 0.0000 0.0000 0.5000
Cd2 Cd 0.2500 0.2500 0.7500
Au1 Au 0.2500 0.2500 0.2500
```

(11)
## Hf4CdAuN2 (PBE)

Data for Hf4CdAuN2 after structural relaxation.

The total energy comes out at -68.84 eV/cell.

Geometry as CIF:
```
data_Hf4CdAuN2
_chemical_formula_sum 'Hf4 Cd1 Au1 N2'
_cell_length_a 3.2509
_cell_length_b 3.2509
_cell_length_c 14.3333
_cell_angle_alpha 90.00
_cell_angle_beta 90.00
_cell_angle_gamma 120.00
_symmetry_space_group_name_H-M 'P -6 m 2'
_symmetry_Int_Tables_number 187
_symmetry_space_group_name_Hall 'P -6 2'
loop_
_atom_site_label
_atom_site_type_symbol
_atom_site_fract_x
_atom_site_fract_y
_atom_site_fract_z
Hf1 Hf 0.0000 0.0000 0.1577
Hf2 Hf 0.3333 0.6667 0.3286
Cd1 Cd 0.0000 0.0000 0.5000
Au1 Au 0.3333 0.6667 0.0000
N1 N 0.6667 0.3333 0.2436
```

(12)
## RbHfCdAu (PBE)

Data for RbHfCdAu after structural relaxation.

The energy relative to the lowest polymorph listed for this composition is 34.7 meV per atom.

Geometry as CIF:
```
data_RbHfCdAu
_chemical_formula_sum 'Rb4 Hf4 Cd4 Au4'
_cell_length_a 7.1468
_cell_length_b 7.1468
_cell_length_c 7.1468
_cell_angle_alpha 90.00
_cell_angle_beta 90.00
_cell_angle_gamma 90.00
_symmetry_space_group_name_H-M 'F -4 3 m'
_symmetry_Int_Tables_number 216
_symmetry_space_group_name_Hall 'F -4 2 3'
loop_
_atom_site_label
_atom_site_type_symbol
_atom_site_fract_x
_atom_site_fract_y
_atom_site_fract_z
Rb1 Rb 0.0000 0.0000 0.0000
Hf1 Hf 0.2500 0.2500 0.2500
Cd1 Cd 0.2500 0.2500 0.7500
Au1 Au 0.0000 0.0000 0.5000
```